SrNi2Br after structural relaxation. Source: the Alexandria database, functional PBE.

Lattice parameters (Å, degrees): 5.7170 10.9672 3.9224 90.00 133.14 90.00
Space group C2/m (No. 12)
Unique sites:
Sr 0.0000 0.0000 0.0000 [2 per cell]
Ni 0.2500 0.2500 0.5000 [4 per cell]
Br 0.0000 0.5000 0.0000 [2 per cell]

Computed properties:
As for the electronic total energy: -28.3 eV/cell. As for the excess energy over the best structure of this formula in the dataset: 437 meV/atom. The value obtained for the uncorrected formation energy is 197 meV/atom.

***

SrNi2Br after structural relaxation. Source: the Alexandria database, functional PBE.

Lattice parameters (Å, degrees): 4.7411 4.7411 16.4506 90.00 90.00 90.00
Space group I-42d (No. 122)
Unique sites:
Sr 0.0000 0.0000 0.0000 [4 per cell]
Ni 0.0295 0.2500 0.6250 [8 per cell]
Br 0.0000 0.0000 0.5000 [4 per cell]

Computed properties:
As for the electronic total energy: -59.2 eV/cell. As for the excess energy over the best structure of this formula in the dataset: 268 meV/atom. The value obtained for the uncorrected formation energy is 28 meV/atom.

***

SrNi2Br after structural relaxation. Source: the Alexandria database, functional PBE.

Lattice parameters (Å, degrees): 10.8106 3.8297 5.2506 90.00 108.03 90.00
Space group C2/m (No. 12)
Unique sites:
Sr 0.0000 0.0000 0.0000 [2 per cell]
Ni 0.2069 0.5000 0.8900 [4 per cell]
Br 0.0000 0.5000 0.5000 [2 per cell]

Computed properties:
As for the electronic total energy: -30.6 eV/cell. As for the excess energy over the best structure of this formula in the dataset: 147 meV/atom. The value obtained for the uncorrected formation energy is -94 meV/atom.

***

SrNi2Br after structural relaxation. Source: the Alexandria database, functional PBE.

Lattice parameters (Å, degrees): 3.9938 4.0729 5.4554 90.00 90.00 90.00
Space group Pmmm (No. 47)
Unique sites:
Sr 0.0000 0.0000 0.0000 [1 per cell]
Ni 0.0000 0.5000 0.5000 [1 per cell]
Ni 0.5000 0.0000 0.5000 [1 per cell]
Br 0.5000 0.5000 0.0000 [1 per cell]

Computed properties:
As for the electronic total energy: -14.2 eV/cell. As for the excess energy over the best structure of this formula in the dataset: 409 meV/atom. The value obtained for the uncorrected formation energy is 169 meV/atom.

***

Sr3Ni5Br12 after structural relaxation. Source: the Alexandria database, functional PBE.

Lattice parameters (Å, degrees): 16.3022 16.3022 16.3022 90.00 90.00 90.00
Space group Ia-3d (No. 230)
Unique sites:
Sr 0.0000 0.2500 0.1250 [24 per cell]
Ni 0.0000 0.0000 0.0000 [16 per cell]
Ni 0.0000 0.2500 0.3750 [24 per cell]
Br 0.0316 0.0540 0.6476 [96 per cell]

Computed properties:
As for the electronic total energy: -580.6 eV/cell. The value obtained for the uncorrected formation energy is -927 meV/atom.

***

SrNiBr6 after structural relaxation. Source: the Alexandria database, functional PBE.

Lattice parameters (Å, degrees): 6.6016 6.6403 7.3429 90.38 116.28 119.74
Space group P-1 (No. 2)
Unique sites:
Sr 0.0000 0.0000 0.0000 [1 per cell]
Ni 0.0000 0.5000 0.5000 [1 per cell]
Br 0.1805 0.4871 0.2795 [2 per cell]
Br 0.2051 0.3090 0.7209 [2 per cell]
Br 0.4092 0.8951 0.7230 [2 per cell]

Computed properties:
As for the electronic total energy: -23.8 eV/cell. The value obtained for the uncorrected formation energy is -792 meV/atom.